[1]
# HgIrPb2 (PBE-GGA, relaxed)
# ρ   12.9 g cm⁻³
# Energy of formation from the pure elements   0.22 eV/atom
# DOS(E_F)   0.51 states/eV/atom
# Total magnetic moment   0.0000 μB/atom
# Total energy   -31.4 eV for the cell shown
data_HgIrPb2
_chemical_formula_sum 'Hg2 Ir2 Pb4'
_cell_length_a 9.931
_cell_length_b 3.270
_cell_length_c 6.904
_cell_angle_alpha 90.00
_cell_angle_beta 112.57
_cell_angle_gamma 90.00
_symmetry_space_group_name_H-M 'C 1 m 1'
_symmetry_Int_Tables_number 8
_symmetry_space_group_name_Hall 'C -2y'
loop_
_atom_site_label
_atom_site_fract_x
_atom_site_fract_y
_atom_site_fract_z
Hg1 0.000 0.000 0.000
Ir1 0.133 0.500 0.377
Pb1 0.195 0.000 0.739
Pb2 0.354 0.000 0.360


[2]
# HgIrPb2 (PBE-GGA, relaxed)
# ρ   14.4 g cm⁻³
# Energy of formation from the pure elements   0.54 eV/atom
# DOS(E_F)   0.55 states/eV/atom
# Total magnetic moment   0.0000 μB/atom
# Total energy   -57.7 eV for the cell shown
data_HgIrPb2
_chemical_formula_sum 'Hg4 Ir4 Pb8'
_cell_length_a 7.200
_cell_length_b 7.200
_cell_length_c 7.200
_cell_angle_alpha 90.00
_cell_angle_beta 90.00
_cell_angle_gamma 90.00
_symmetry_space_group_name_H-M 'F -4 3 m'
_symmetry_Int_Tables_number 216
_symmetry_space_group_name_Hall 'F -4 2 3'
loop_
_atom_site_label
_atom_site_fract_x
_atom_site_fract_y
_atom_site_fract_z
Hg1 0.000 0.000 0.000
Ir1 0.250 0.250 0.250
Pb1 0.000 0.000 0.500
Pb2 0.250 0.250 0.750


[3]
# HgIrPb2 (PBE-GGA, relaxed)
# ρ   13.1 g cm⁻³
# Energy of formation from the pure elements   0.27 eV/atom
# DOS(E_F)   0.44 states/eV/atom
# Total magnetic moment   0.0000 μB/atom
# Total energy   -31.0 eV for the cell shown
data_HgIrPb2
_chemical_formula_sum 'Hg2 Ir2 Pb4'
_cell_length_a 3.202
_cell_length_b 4.729
_cell_length_c 13.497
_cell_angle_alpha 90.00
_cell_angle_beta 90.00
_cell_angle_gamma 90.00
_symmetry_space_group_name_H-M 'I m m 2'
_symmetry_Int_Tables_number 44
_symmetry_space_group_name_Hall 'I 2 -2'
loop_
_atom_site_label
_atom_site_fract_x
_atom_site_fract_y
_atom_site_fract_z
Hg1 0.000 0.000 0.000
Ir1 0.000 0.500 0.697
Pb1 0.000 0.000 0.373
Pb2 0.000 0.500 0.166


[4]
# HgIr2Pb (PBE-GGA, relaxed)
# ρ   17.5 g cm⁻³
# Energy above the most stable polymorph in this dataset   190.5 meV per atom
# Energy of formation from the pure elements   0.60 eV/atom
# DOS(E_F)   0.79 states/eV/atom
# Total magnetic moment   0.0000 μB/atom
# Total energy   -19.3 eV for the cell shown
data_HgIr2Pb
_chemical_formula_sum 'Hg1 Ir2 Pb1'
_cell_length_a 4.771
_cell_length_b 3.195
_cell_length_c 5.327
_cell_angle_alpha 90.00
_cell_angle_beta 112.48
_cell_angle_gamma 90.00
_symmetry_space_group_name_H-M 'P 1 2/m 1'
_symmetry_Int_Tables_number 10
_symmetry_space_group_name_Hall '-P 2y'
loop_
_atom_site_label
_atom_site_fract_x
_atom_site_fract_y
_atom_site_fract_z
Hg1 0.000 0.000 0.000
Ir1 0.500 0.000 0.500
Ir2 0.500 0.500 0.000
Pb1 0.000 0.500 0.500


[5]
# HgIrPb2 (PBE-GGA, relaxed)
# ρ   13.2 g cm⁻³
# Energy of formation from the pure elements   0.15 eV/atom
# DOS(E_F)   0.44 states/eV/atom
# Total magnetic moment   0.0000 μB/atom
# Total energy   -16.0 eV for the cell shown
data_HgIrPb2
_chemical_formula_sum 'Hg1 Ir1 Pb2'
_cell_length_a 3.329
_cell_length_b 3.329
_cell_length_c 9.169
_cell_angle_alpha 90.00
_cell_angle_beta 90.00
_cell_angle_gamma 90.00
_symmetry_space_group_name_H-M 'P 4/m m m'
_symmetry_Int_Tables_number 123
_symmetry_space_group_name_Hall '-P 4 2'
loop_
_atom_site_label
_atom_site_fract_x
_atom_site_fract_y
_atom_site_fract_z
Hg1 0.000 0.000 0.000
Ir1 0.000 0.000 0.500
Pb1 0.500 0.500 0.305


[6]
# HgIr2Pb (PBE-GGA, relaxed)
# ρ   17.7 g cm⁻³
# Energy above the most stable polymorph in this dataset   289.4 meV per atom
# Energy of formation from the pure elements   0.70 eV/atom
# DOS(E_F)   1.56 states/eV/atom
# Total magnetic moment   0.0047 μB/atom
# Total energy   -37.8 eV for the cell shown
data_HgIr2Pb
_chemical_formula_sum 'Hg2 Ir4 Pb2'
_cell_length_a 4.076
_cell_length_b 4.076
_cell_length_c 8.954
_cell_angle_alpha 90.00
_cell_angle_beta 90.00
_cell_angle_gamma 90.00
_symmetry_space_group_name_H-M 'I -4 m 2'
_symmetry_Int_Tables_number 119
_symmetry_space_group_name_Hall 'I -4 -2'
loop_
_atom_site_label
_atom_site_fract_x
_atom_site_fract_y
_atom_site_fract_z
Hg1 0.000 0.000 0.000
Ir1 0.000 0.000 0.500
Ir2 0.000 0.500 0.750
Pb1 0.000 0.500 0.250


[7]
# HgIrPb2 (PBE-GGA, relaxed)
# ρ   12.2 g cm⁻³
# Energy of formation from the pure elements   0.20 eV/atom
# DOS(E_F)   0.35 states/eV/atom
# Total magnetic moment   0.0000 μB/atom
# Total energy   -31.6 eV for the cell shown
data_HgIrPb2
_chemical_formula_sum 'Hg2 Ir2 Pb4'
_cell_length_a 6.777
_cell_length_b 3.908
_cell_length_c 8.597
_cell_angle_alpha 90.00
_cell_angle_beta 104.46
_cell_angle_gamma 90.00
_symmetry_space_group_name_H-M 'C 1 2/m 1'
_symmetry_Int_Tables_number 12
_symmetry_space_group_name_Hall '-C 2y'
loop_
_atom_site_label
_atom_site_fract_x
_atom_site_fract_y
_atom_site_fract_z
Hg1 0.000 0.000 0.000
Ir1 0.000 0.500 0.500
Pb1 0.229 0.000 0.693


[8]
# HgIr2Pb (PBE-GGA, relaxed)
# ρ   15.1 g cm⁻³
# Energy above the most stable polymorph in this dataset   0.0 meV per atom
# Energy of formation from the pure elements   0.41 eV/atom
# DOS(E_F)   0.75 states/eV/atom
# Total magnetic moment   0.0000 μB/atom
# Total energy   -20.1 eV for the cell shown
data_HgIr2Pb
_chemical_formula_sum 'Hg1 Ir2 Pb1'
_cell_length_a 2.910
_cell_length_b 3.924
_cell_length_c 7.657
_cell_angle_alpha 90.00
_cell_angle_beta 91.10
_cell_angle_gamma 90.00
_symmetry_space_group_name_H-M 'P 1 m 1'
_symmetry_Int_Tables_number 6
_symmetry_space_group_name_Hall 'P -2y'
loop_
_atom_site_label
_atom_site_fract_x
_atom_site_fract_y
_atom_site_fract_z
Hg1 0.000 0.000 0.000
Ir1 0.488 0.000 0.608
Ir2 0.994 0.500 0.716
Pb1 0.485 0.500 0.317


[9]
# HgIr2Pb (PBE-GGA, relaxed)
# ρ   17.9 g cm⁻³
# Energy above the most stable polymorph in this dataset   165.2 meV per atom
# Energy of formation from the pure elements   0.58 eV/atom
# DOS(E_F)   0.63 states/eV/atom
# Total magnetic moment   0.0000 μB/atom
# Total energy   -19.4 eV for the cell shown
data_HgIr2Pb
_chemical_formula_sum 'Hg1 Ir2 Pb1'
_cell_length_a 3.158
_cell_length_b 3.158
_cell_length_c 7.367
_cell_angle_alpha 90.00
_cell_angle_beta 90.00
_cell_angle_gamma 90.00
_symmetry_space_group_name_H-M 'P 4/m m m'
_symmetry_Int_Tables_number 123
_symmetry_space_group_name_Hall '-P 4 2'
loop_
_atom_site_label
_atom_site_fract_x
_atom_site_fract_y
_atom_site_fract_z
Hg1 0.000 0.000 0.000
Ir1 0.500 0.500 0.253
Pb1 0.000 0.000 0.500


[10]
# HgIrPb4 (PBE-GGA, relaxed)
# ρ   11.7 g cm⁻³
# Energy of formation from the pure elements   0.79 eV/atom
# DOS(E_F)   0.67 states/eV/atom
# Total magnetic moment   0.0000 μB/atom
# Total energy   -77.1 eV for the cell shown
data_HgIrPb4
_chemical_formula_sum 'Hg4 Ir4 Pb16'
_cell_length_a 8.848
_cell_length_b 8.848
_cell_length_c 8.848
_cell_angle_alpha 90.00
_cell_angle_beta 90.00
_cell_angle_gamma 90.00
_symmetry_space_group_name_H-M 'F -4 3 m'
_symmetry_Int_Tables_number 216
_symmetry_space_group_name_Hall 'F -4 2 3'
loop_
_atom_site_label
_atom_site_fract_x
_atom_site_fract_y
_atom_site_fract_z
Hg1 0.000 0.000 0.000
Ir1 0.250 0.250 0.750
Pb1 0.124 0.124 0.376


[11]
# HgIrPb3 (PBE-GGA, relaxed)
# ρ   10.9 g cm⁻³
# Energy above the most stable polymorph in this dataset   0.0 meV per atom
# Energy of formation from the pure elements   0.26 eV/atom
# DOS(E_F)   0.88 states/eV/atom
# Total magnetic moment   0.0000 μB/atom
# Total energy   -19.0 eV for the cell shown
data_HgIrPb3
_chemical_formula_sum 'Hg1 Ir1 Pb3'
_cell_length_a 5.359
_cell_length_b 5.359
_cell_length_c 5.359
_cell_angle_alpha 90.00
_cell_angle_beta 90.00
_cell_angle_gamma 90.00
_symmetry_space_group_name_H-M 'P m -3 m'
_symmetry_Int_Tables_number 221
_symmetry_space_group_name_Hall '-P 4 2 3'
loop_
_atom_site_label
_atom_site_fract_x
_atom_site_fract_y
_atom_site_fract_z
Hg1 0.000 0.000 0.000
Ir1 0.500 0.500 0.500
Pb1 0.000 0.500 0.500


[12]
# HgIrPb2 (PBE-GGA, relaxed)
# ρ   13.7 g cm⁻³
# Energy of formation from the pure elements   0.29 eV/atom
# DOS(E_F)   0.38 states/eV/atom
# Total magnetic moment   0.0000 μB/atom
# Total energy   -15.4 eV for the cell shown
data_HgIrPb2
_chemical_formula_sum 'Hg1 Ir1 Pb2'
_cell_length_a 3.255
_cell_length_b 3.255
_cell_length_c 9.228
_cell_angle_alpha 90.00
_cell_angle_beta 90.00
_cell_angle_gamma 90.00
_symmetry_space_group_name_H-M 'P 4 m m'
_symmetry_Int_Tables_number 99
_symmetry_space_group_name_Hall 'P 4 -2'
loop_
_atom_site_label
_atom_site_fract_x
_atom_site_fract_y
_atom_site_fract_z
Hg1 0.000 0.000 0.000
Ir1 0.500 0.500 0.194
Pb1 0.000 0.000 0.384
Pb2 0.500 0.500 0.730


[13]
# HgIr2Pb (PBE-GGA, relaxed)
# ρ   17.5 g cm⁻³
# Energy above the most stable polymorph in this dataset   218.7 meV per atom
# Energy of formation from the pure elements   0.63 eV/atom
# DOS(E_F)   0.88 states/eV/atom
# Total magnetic moment   0.0000 μB/atom
# Total energy   -57.6 eV for the cell shown
data_HgIr2Pb
_chemical_formula_sum 'Hg3 Ir6 Pb3'
_cell_length_a 3.1610
_cell_length_b 3.1610
_cell_length_c 26.0775
_cell_angle_alpha 90.00
_cell_angle_beta 90.00
_cell_angle_gamma 120.00
_symmetry_space_group_name_H-M 'R -3 m'
_symmetry_Int_Tables_number 166
_symmetry_space_group_name_Hall '-R 3 2"'
loop_
_atom_site_label
_atom_site_fract_x
_atom_site_fract_y
_atom_site_fract_z
Hg1 0.0000 0.0000 0.0000
Ir1 0.0000 0.0000 0.2492
Pb1 0.0000 0.0000 0.5000


[14]
# HgIr2Pb (PBE-GGA, relaxed)
# ρ   17.2 g cm⁻³
# Energy above the most stable polymorph in this dataset   94.3 meV per atom
# Energy of formation from the pure elements   0.51 eV/atom
# DOS(E_F)   0.80 states/eV/atom
# Total magnetic moment   0.0000 μB/atom
# Total energy   -39.4 eV for the cell shown
data_HgIr2Pb
_chemical_formula_sum 'Hg2 Ir4 Pb2'
_cell_length_a 10.630
_cell_length_b 2.978
_cell_length_c 5.229
_cell_angle_alpha 90.00
_cell_angle_beta 112.20
_cell_angle_gamma 90.00
_symmetry_space_group_name_H-M 'C 1 m 1'
_symmetry_Int_Tables_number 8
_symmetry_space_group_name_Hall 'C -2y'
loop_
_atom_site_label
_atom_site_fract_x
_atom_site_fract_y
_atom_site_fract_z
Hg1 0.000 0.000 0.000
Ir1 0.256 0.500 0.118
Ir2 0.445 0.000 0.480
Pb1 0.204 0.000 0.610


[15]
# HgIr2Pb (PBE-GGA, relaxed)
# ρ   16.1 g cm⁻³
# Energy above the most stable polymorph in this dataset   20.7 meV per atom
# Energy of formation from the pure elements   0.43 eV/atom
# DOS(E_F)   0.79 states/eV/atom
# Total magnetic moment   0.0000 μB/atom
# Total energy   -20.0 eV for the cell shown
data_HgIr2Pb
_chemical_formula_sum 'Hg1 Ir2 Pb1'
_cell_length_a 3.157
_cell_length_b 3.157
_cell_length_c 8.189
_cell_angle_alpha 90.00
_cell_angle_beta 90.00
_cell_angle_gamma 90.00
_symmetry_space_group_name_H-M 'P 4 m m'
_symmetry_Int_Tables_number 99
_symmetry_space_group_name_Hall 'P 4 -2'
loop_
_atom_site_label
_atom_site_fract_x
_atom_site_fract_y
_atom_site_fract_z
Hg1 0.000 0.000 0.000
Ir1 0.000 0.000 0.406
Ir2 0.500 0.500 0.240
Pb1 0.500 0.500 0.664